Material: CuRu
Method: DFT, GGA-PBE
State: relaxed

Lattice parameters (Å, degrees): 4.3123 7.8866 4.6311 90.00 90.00 90.00
Last column: nearest neighbours and their distance in Å.
Element x y z (fractional)
Cu (0.2500, 0.0859, 0.0843)  5 Cu 2.59-2.71, 7 Ru 2.62-2.70
Cu (0.2500, 0.2500, 0.5980)  4 Cu 2.60-2.71, 8 Ru 2.64-2.65
Cu (0.2500, 0.4141, 0.0843)  5 Cu 2.59-2.71, 7 Ru 2.62-2.70
Cu (0.7500, 0.5859, 0.9157)  5 Cu 2.59-2.71, 7 Ru 2.62-2.70
Cu (0.7500, 0.7500, 0.4020)  4 Cu 2.60-2.71, 8 Ru 2.64-2.65
Cu (0.7500, 0.9141, 0.9157)  5 Cu 2.59-2.71, 7 Ru 2.62-2.70
Ru (0.2500, 0.5853, 0.5792)  5 Ru 2.60-2.68, 7 Cu 2.65-2.70
Ru (0.2500, 0.7500, 0.0738)  8 Cu 2.62-2.65, 4 Ru 2.63-2.68
Ru (0.2500, 0.9147, 0.5792)  5 Ru 2.60-2.68, 7 Cu 2.65-2.70
Ru (0.7500, 0.0853, 0.4208)  5 Ru 2.60-2.68, 7 Cu 2.65-2.70
Ru (0.7500, 0.2500, 0.9262)  8 Cu 2.62-2.65, 4 Ru 2.63-2.68
Ru (0.7500, 0.4147, 0.4208)  5 Ru 2.60-2.68, 7 Cu 2.65-2.70

Values from the calculation:
Its space-group type is Pmmn, No. 59. The calculation puts the density of states at the Fermi level at 2.600 states/eV/f.u. Its total energy is -6.413 eV/atom. The value obtained for the volume is 13.13 Å³/atom.